No. 1
This record from Alexandria via LeMat-Bulk describes a PBEsol-optimized structure of K2Cl. The functional is meta-GGA SCAN.

Properties
Uncorrected formation energy   -1.39 eV/atom
N(E_F)   0.2489 states/eV/atom
Final energy   -9.603 eV per atom

Lattice parameters (Å, degrees): 4.4153 4.4153 7.6978 90.00 90.00 120.00
Space group P-3m1 (No. 164)
Unique sites:
1 K 0.3333 0.6667 0.2596 (multiplicity 2)
2 Cl 0.0000 0.0000 0.5000 (multiplicity 1)

No. 2
This record from Alexandria via LeMat-Bulk describes a PBEsol-optimized structure of Mg5In. The functional is meta-GGA SCAN.

Properties
N(E_F)   0.4111 states/eV/atom
Final energy   -9.775 eV per atom

Lattice parameters (Å, degrees): 5.241 3.138 16.394 90.00 90.00 90.00
Space group Amm2 (No. 38)
Unique sites:
1 Mg 0.000 0.000 0.000 (multiplicity 2)
2 Mg 0.000 0.000 0.332 (multiplicity 2)
3 Mg 0.000 0.000 0.666 (multiplicity 2)
4 Mg 0.500 0.000 0.110 (multiplicity 2)
5 Mg 0.500 0.000 0.443 (multiplicity 2)
6 In 0.500 0.000 0.776 (multiplicity 2)

No. 3
This record from Alexandria via LeMat-Bulk describes a PBEsol-optimized structure of HgGeHPt2. The functional is meta-GGA SCAN.

Properties
N(E_F)   0.2040 states/eV/atom
Final energy   -45.984 eV per atom

Lattice parameters (Å, degrees): 3.972 3.972 4.506 90.00 90.00 90.00
Space group P4/mmm (No. 123)
Unique sites:
1 Hg 0.000 0.000 0.000 (multiplicity 1)
2 Ge 0.500 0.500 0.000 (multiplicity 1)
3 H 0.500 0.500 0.500 (multiplicity 1)
4 Pt 0.000 0.500 0.500 (multiplicity 2)

No. 4
This record from Alexandria via LeMat-Bulk describes a PBEsol-optimized structure of NbGeH2Pd. The functional is meta-GGA SCAN.

Properties
N(E_F)   0.4587 states/eV/atom
Final energy   -17.714 eV per atom

Lattice parameters (Å, degrees): 3.602 3.602 5.395 90.00 90.00 90.00
Space group P4/mmm (No. 123)
Unique sites:
1 Nb 0.000 0.000 0.000 (multiplicity 1)
2 Ge 0.000 0.000 0.500 (multiplicity 1)
3 H 0.000 0.500 0.500 (multiplicity 2)
4 Pd 0.500 0.500 0.000 (multiplicity 1)

No. 5
This record from Alexandria via LeMat-Bulk describes a PBEsol-optimized structure of Y2AlCo. The functional is meta-GGA SCAN.

Properties
N(E_F)   0.5048 states/eV/atom
Final energy   -20.539 eV per atom

Lattice parameters (Å, degrees): 3.389 3.389 7.111 90.00 90.00 90.00
Space group P4/mmm (No. 123)
Unique sites:
1 Y 0.000 0.000 0.225 (multiplicity 2)
2 Al 0.500 0.500 0.500 (multiplicity 1)
3 Co 0.500 0.500 0.000 (multiplicity 1)

No. 6
This record from Alexandria via LeMat-Bulk describes a PBEsol-optimized structure of SrTlSn3. The functional is meta-GGA SCAN.

Properties
N(E_F)   1.2347 states/eV/atom
Final energy   -39.727 eV per atom

Lattice parameters (Å, degrees): 5.882 5.882 5.882 90.00 90.00 90.00
Space group Pm-3m (No. 221)
Unique sites:
1 Sr 0.000 0.000 0.000 (multiplicity 1)
2 Tl 0.500 0.500 0.500 (multiplicity 1)
3 Sn 0.000 0.000 0.500 (multiplicity 3)

No. 7
This record from Alexandria via LeMat-Bulk describes a PBEsol-optimized structure of AlCu3Ni. The functional is meta-GGA SCAN.

Properties
N(E_F)   0.5853 states/eV/atom
Final energy   -12.849 eV per atom

Lattice parameters (Å, degrees): 4.277 4.277 4.277 90.00 90.00 90.00
Space group Pm-3m (No. 221)
Unique sites:
1 Al 0.000 0.000 0.000 (multiplicity 1)
2 Cu 0.000 0.000 0.500 (multiplicity 3)
3 Ni 0.500 0.500 0.500 (multiplicity 1)

No. 8
This record from Alexandria via LeMat-Bulk describes a PBEsol-optimized structure of Cd5Cu4. The functional is meta-GGA SCAN.

Properties
N(E_F)   0.1929 states/eV/atom
Final energy   -23.560 eV per atom

Lattice parameters (Å, degrees): 7.8089 7.8089 5.4758 90.00 90.00 120.00
Space group P6_3/mcm (No. 193)
Unique sites:
1 Cd 0.0000 0.2928 0.2500 (multiplicity 6)
2 Cd 0.3333 0.6667 0.0000 (multiplicity 4)
3 Cu 0.0000 0.0000 0.0000 (multiplicity 2)
4 Cu 0.0000 0.3684 0.7500 (multiplicity 6)